# 1
Entry from Alexandria: an optimized crystal structure of TiGe2Pt (GGA-PBE).

For the energy relative to the elements, the calculation gives -272 meV per atom. Its theoretical density is 10.02 g/cm³. The calculation puts the total energy at -6.06 eV per atom. For the volume, the calculation gives 16.09 A^3/atom.

It has space group Fm-3m (No. 225), with a = 6.3611 Å, b = 6.3611 Å, c = 6.3611 Å, α = 90.00°, β = 90.00° and γ = 90.00°. The inequivalent atoms are Ti at (0.0000, 0.0000, 0.0000), Ge at (0.2500, 0.2500, 0.2500) and Pt at (0.0000, 0.0000, 0.5000).

---

# 2
Entry from Alexandria: an optimized crystal structure of InCuReGe2 (GGA-PBE).

For the energy relative to the elements, the calculation gives 1207 meV per atom. Its theoretical density is 8.17 g/cm³. The calculation puts the total energy at -4.50 eV per atom. For the volume, the calculation gives 20.72 A^3/atom.

It has space group P4/mmm (No. 123), with a = 4.5170 Å, b = 4.5170 Å, c = 5.0786 Å, α = 90.00°, β = 90.00° and γ = 90.00°. The inequivalent atoms are In at (0.0000, 0.0000, 0.0000), Cu at (0.0000, 0.0000, 0.5000), Re at (0.5000, 0.5000, 0.0000) and Ge at (0.0000, 0.5000, 0.5000).

---

# 3
Entry from Alexandria: an optimized crystal structure of CuCS2 (GGA-PBE).

Its theoretical density is 3.94 g/cm³. The raw formation energy is 736 meV per atom. The calculation puts the total energy at -4.66 eV per atom. For the volume, the calculation gives 14.72 A^3/atom.

It has space group I-42d (No. 122), with a = 4.8737 Å, b = 4.8737 Å, c = 9.9154 Å, α = 90.00°, β = 90.00° and γ = 90.00°. The inequivalent atoms are Cu at (0.0000, 0.0000, 0.0000), C at (0.0000, 0.0000, 0.5000) and S at (0.1943, 0.2500, 0.6250).

---

# 4
Entry from Alexandria: an optimized crystal structure of KAg4Ir (GGA-PBE).

For the energy relative to the elements, the calculation gives 504 meV per atom. Its theoretical density is 9.11 g/cm³. The calculation puts the total energy at -3.06 eV per atom. For the volume, the calculation gives 20.14 A^3/atom.

It has space group F-43m (No. 216), with a = 7.8486 Å, b = 7.8486 Å, c = 7.8486 Å, α = 90.00°, β = 90.00° and γ = 90.00°. The inequivalent atoms are K at (0.0000, 0.0000, 0.0000), Ag at (0.1244, 0.1244, 0.6244) and Ir at (0.2500, 0.2500, 0.2500).

---

# 5
Entry from Alexandria: an optimized crystal structure of Na2InSn (GGA-PBE).

For the energy relative to the elements, the calculation gives -130 meV per atom. Its theoretical density is 4.40 g/cm³. The calculation puts the total energy at -2.47 eV per atom. For the volume, the calculation gives 26.38 A^3/atom.

It has space group P4/mmm (No. 123), with a = 4.5830 Å, b = 4.5830 Å, c = 5.0238 Å, α = 90.00°, β = 90.00° and γ = 90.00°. The inequivalent atoms are Na at (0.0000, 0.5000, 0.0000), In at (0.0000, 0.0000, 0.5000) and Sn at (0.5000, 0.5000, 0.5000).

---

# 6
Entry from Alexandria: an optimized crystal structure of PIr2S (GGA-PBE).

Its theoretical density is 13.24 g/cm³. The raw formation energy is 386 meV per atom. The calculation puts the total energy at -6.43 eV per atom. For the volume, the calculation gives 14.03 A^3/atom.

It has space group Fm-3m (No. 225), with a = 6.0773 Å, b = 6.0773 Å, c = 6.0773 Å, α = 90.00°, β = 90.00° and γ = 90.00°. The inequivalent atoms are P at (0.0000, 0.0000, 0.0000), Ir at (0.2500, 0.2500, 0.2500) and S at (0.0000, 0.0000, 0.5000).

---

# 7
Entry from Alexandria: an optimized crystal structure of Ti2SiPb2 (GGA-PBE).

Its theoretical density is 8.59 g/cm³. The raw formation energy is -46 meV per atom. The calculation puts the total energy at -5.77 eV per atom. The energy above the most stable polymorph in this dataset is 0 meV per atom. For the volume, the calculation gives 20.80 A^3/atom.

It has space group P4/mbm (No. 127), with a = 6.7605 Å, b = 6.7605 Å, c = 4.5515 Å, α = 90.00°, β = 90.00° and γ = 90.00°. The inequivalent atoms are Ti at (0.1560, 0.3440, 0.0000), Si at (0.0000, 0.0000, 0.0000) and Pb at (0.1640, 0.6640, 0.5000).

---

# 8
Entry from Alexandria: an optimized crystal structure of K2Al12Au7 (GGA-PBE).

For the energy relative to the elements, the calculation gives -327 meV per atom. Its theoretical density is 7.22 g/cm³. The calculation puts the total energy at -3.66 eV per atom. For the volume, the calculation gives 19.51 A^3/atom.

It has space group P-3 (No. 147), with a = 10.6035 Å, b = 10.6035 Å, c = 4.2080 Å, α = 90.00°, β = 90.00° and γ = 120.00°. The inequivalent atoms are K at (0.3333, 0.6667, 0.2446), Al at (0.0538, 0.6184, 0.7522), Al at (0.1215, 0.8547, 0.2380), Au at (0.0000, 0.0000, 0.0000) and Au at (0.1114, 0.4013, 0.7391).

---

# 9
Entry from Alexandria: an optimized crystal structure of TlCd2Pt (GGA-PBE).

For the energy relative to the elements, the calculation gives 24 meV per atom. Its theoretical density is 12.23 g/cm³. The calculation puts the total energy at -2.54 eV per atom. The energy above the most stable polymorph in this dataset is 180 meV per atom. For the volume, the calculation gives 21.19 A^3/atom.

It has space group Fm-3m (No. 225), with a = 6.9729 Å, b = 6.9729 Å, c = 6.9729 Å, α = 90.00°, β = 90.00° and γ = 90.00°. The inequivalent atoms are Tl at (0.0000, 0.0000, 0.0000), Cd at (0.2500, 0.2500, 0.2500) and Pt at (0.0000, 0.0000, 0.5000).

---

# 10
Entry from Alexandria: an optimized crystal structure of NdHfC (GGA-PBE).

For the energy relative to the elements, the calculation gives 176 meV per atom. Its theoretical density is 8.60 g/cm³. The calculation puts the total energy at -7.81 eV per atom. For the volume, the calculation gives 21.55 A^3/atom.

It has space group P4/nmm (No. 129, origin choice 2), with a = 3.8241 Å, b = 3.8241 Å, c = 8.8412 Å, α = 90.00°, β = 90.00° and γ = 90.00°. The inequivalent atoms are Nd at (0.2500, 0.2500, 0.1837), Hf at (0.2500, 0.7500, 0.5000) and C at (0.2500, 0.2500, 0.6602).

---

# 11
Entry from Alexandria: an optimized crystal structure of Na3YTm2Te6 (GGA-PBE).

Its theoretical density is 5.51 g/cm³. The raw formation energy is -1306 meV per atom. The calculation puts the total energy at -4.49 eV per atom. For the volume, the calculation gives 31.70 A^3/atom.

It has space group C2/m (No. 12), with a = 7.6189 Å, b = 13.1974 Å, c = 7.9808 Å, α = 90.00°, β = 108.56° and γ = 90.00°. The inequivalent atoms are Na at (0.0000, 0.0000, 0.0000), Na at (0.0000, 0.3347, 0.0000), Y at (0.0000, 0.5000, 0.5000), Tm at (0.0000, 0.1669, 0.5000), Te at (0.2401, 0.0000, 0.7300) and Te at (0.2451, 0.3318, 0.7302).

---

# 12
Entry from Alexandria: an optimized crystal structure of Y5Tc3 (GGA-PBE).

For the energy relative to the elements, the calculation gives 64 meV per atom. Its theoretical density is 6.45 g/cm³. The calculation puts the total energy at -7.86 eV per atom. The energy above the most stable polymorph in this dataset is 0 meV per atom. For the volume, the calculation gives 23.75 A^3/atom.

It has space group P6_3/mcm (No. 193), with a = 8.3623 Å, b = 8.3623 Å, c = 6.2760 Å, α = 90.00°, β = 90.00° and γ = 120.00°. The inequivalent atoms are Y at (0.0000, 0.2622, 0.2500), Y at (0.3333, 0.6667, 0.0000) and Tc at (0.0000, 0.3946, 0.7500).